VASP calculation (PBE) on a relaxed Cu5Si2S7 crystal.

Computed properties:
Uncorrected energy (eV/atom): -4.60

Unit cell a=6.3357 b=8.7482 c=9.5935 alpha=92.11 beta=90.00 gamma=111.23
With the nearest neighbours (Å) after each atom.
Positions (direct):
Cu: 0.7338 0.8126 0.6241  4 S 2.28-2.30
Cu: 0.4794 0.6717 0.2733  4 S 2.28-2.33
Cu: 0.4561 0.2422 0.2007  4 S 2.27-2.35
Cu: 0.8709 0.1018 0.3361  4 S 2.26-2.38
Cu: 0.2309 0.1018 0.8361  4 S 2.26-2.38
Cu: 0.1923 0.6717 0.7733  4 S 2.28-2.33
Cu: 0.7862 0.2422 0.7007  4 S 2.27-2.35
Cu: 0.5930 0.5354 0.9205  4 S 2.28-2.30
Cu: 0.9423 0.5354 0.4205  4 S 2.28-2.30
Cu: 0.0788 0.8126 0.1241  4 S 2.28-2.30
S: 0.2555 0.1759 0.4098  2 Si 2.24-2.26, 2 Cu 2.35-2.38
S: 0.9205 0.1759 0.9098  2 Si 2.24-2.26, 2 Cu 2.35-2.38
S: 0.3620 0.0328 0.0381  1 Si 2.14, 3 Cu 2.27-2.29
S: 0.5659 0.7688 0.8388  1 Si 2.14, 3 Cu 2.28-2.30
S: 0.2029 0.7688 0.3388  1 Si 2.14, 3 Cu 2.28-2.30
S: 0.8340 0.3300 0.2516  1 Si 2.13, 3 Cu 2.27-2.28
S: 0.1123 0.8873 0.6796  1 Si 2.14, 3 Cu 2.26-2.33
S: 0.4960 0.3300 0.7516  1 Si 2.13, 3 Cu 2.27-2.28
S: 0.6225 0.5926 0.4700  1 Si 2.14, 3 Cu 2.28-2.33
S: 0.7750 0.8873 0.1796  1 Si 2.14, 3 Cu 2.26-2.33
S: 0.6708 0.0328 0.5381  1 Si 2.14, 3 Cu 2.27-2.29
S: 0.0795 0.4560 0.6141  1 Si 2.14, 3 Cu 2.28-2.29
S: 0.3765 0.4560 0.1141  1 Si 2.14, 3 Cu 2.28-2.29
S: 0.9700 0.5926 0.9700  1 Si 2.14, 3 Cu 2.28-2.33
Si: 0.3676 0.3919 0.5649  4 S 2.13-2.26
Si: 0.6458 0.9606 0.9978  4 S 2.14-2.24
Si: 0.3148 0.9606 0.4978  4 S 2.14-2.24
Si: 0.0243 0.3919 0.0649  4 S 2.13-2.26

***

VASP calculation (PBE) on a relaxed Cu3SiS4 crystal.

Computed properties:
Uncorrected energy (eV/atom): -4.57

Unit cell a=6.3803 b=6.3803 c=6.3803 alpha=131.75 beta=131.75 gamma=70.62
With the nearest neighbours (Å) after each atom.
Positions (direct):
S: 0.6408 0.6408 0.5233  1 Si 2.16, 3 Cu 2.28-2.30
S: 0.3592 0.8825 0.0000  1 Si 2.16, 3 Cu 2.28-2.30
S: 0.1175 0.1175 0.4767  1 Si 2.16, 3 Cu 2.28-2.30
S: 0.8825 0.3592 0.0000  1 Si 2.16, 3 Cu 2.28-2.30
Cu: 0.2500 0.7500 0.5000  4 S 2.28
Cu: 0.5000 0.5000 0.0000  4 S 2.30
Cu: 0.7500 0.2500 0.5000  4 S 2.28
Si: 0.0000 0.0000 0.0000  4 S 2.16

***

VASP calculation (PBE) on a relaxed Cu3SiS4 crystal.

Computed properties:
Uncorrected energy (eV/atom): -4.56

Unit cell a=7.2896 b=6.3330 c=6.1221 alpha=90.00 beta=90.00 gamma=90.00
With the nearest neighbours (Å) after each atom.
Positions (direct):
S: 0.5000 0.3224 0.5235  1 Si 2.16, 3 Cu 2.28
S: 0.2570 0.1699 0.9953  1 Si 2.16, 3 Cu 2.29-2.32
S: 0.2430 0.8301 0.4953  1 Si 2.16, 3 Cu 2.29-2.32
S: 0.0000 0.3528 0.4977  1 Si 2.16, 3 Cu 2.28
S: 0.7570 0.8301 0.4953  1 Si 2.16, 3 Cu 2.29-2.32
S: 0.5000 0.6472 0.9977  1 Si 2.16, 3 Cu 2.28
S: 0.0000 0.6776 0.0235  1 Si 2.16, 3 Cu 2.28
S: 0.7430 0.1699 0.9953  1 Si 2.16, 3 Cu 2.29-2.32
Cu: 0.2523 0.8272 0.8688  4 S 2.28-2.30
Cu: 0.0000 0.3492 0.8696  4 S 2.28-2.32
Cu: 0.2477 0.1728 0.3688  4 S 2.28-2.30
Cu: 0.7477 0.8272 0.8688  4 S 2.28-2.30
Cu: 0.5000 0.6508 0.3696  4 S 2.28-2.32
Cu: 0.7523 0.1728 0.3688  4 S 2.28-2.30
Si: 0.5000 0.3264 0.8766  4 S 2.16
Si: 0.0000 0.6736 0.3766  4 S 2.16

***

VASP calculation (PBE) on a relaxed Sm3CuSiS7 crystal.

Computed properties:
Uncorrected energy (eV/atom): -5.90

Unit cell a=10.0775 b=10.0775 c=5.7313 alpha=90.00 beta=90.00 gamma=120.00
With the nearest neighbours (Å) after each atom.
Positions (direct):
S: 0.2541 0.1661 0.2659  1 Cu 2.25
S: 0.4124 0.5226 0.5170  1 Si 2.15
S: 0.5225 0.1102 0.0170  1 Si 2.15
S: 0.5876 0.4774 0.0170  1 Si 2.15
S: 0.6667 0.3333 0.5319  1 Si 2.11
S: 0.4775 0.8898 0.5170  1 Si 2.15
S: 0.3333 0.6667 0.0319  1 Si 2.11
S: 0.1102 0.5876 0.5170  1 Si 2.15
S: 0.8898 0.4124 0.0170  1 Si 2.15
S: 0.7459 0.8339 0.7659  1 Cu 2.25
S: 0.0880 0.2541 0.7659  1 Cu 2.25
S: 0.8339 0.0880 0.2659  1 Cu 2.25
S: 0.1661 0.9120 0.7659  1 Cu 2.25
S: 0.9120 0.7459 0.2659  1 Cu 2.25
Sm: 0.2326 0.8761 0.2509  8 S 2.82-3.09
Sm: 0.8761 0.6435 0.7509  8 S 2.82-3.09
Sm: 0.3565 0.2326 0.7509  8 S 2.82-3.09
Sm: 0.7674 0.1239 0.7509  8 S 2.82-3.09
Sm: 0.6435 0.7674 0.2509  8 S 2.82-3.09
Sm: 0.1239 0.3565 0.2509  8 S 2.82-3.09
Si: 0.3333 0.6667 0.6638  4 S 2.11-2.15
Si: 0.6667 0.3333 0.1638  4 S 2.11-2.15
Cu: 0.0000 0.0000 0.2750  3 S 2.25
Cu: 0.0000 0.0000 0.7750  3 S 2.25

***

VASP calculation (PBE) on a relaxed Tb3CuSiS7 crystal.

Computed properties:
Uncorrected energy (eV/atom): -5.86

Unit cell a=9.9331 b=9.9330 c=5.6808 alpha=90.00 beta=90.00 gamma=120.00
With the nearest neighbours (Å) after each atom.
Positions (direct):
S: 0.1074 0.5858 0.5118  1 Si 2.15
S: 0.8926 0.4142 0.0118  1 Si 2.15
S: 0.9092 0.7429 0.2690  1 Cu 2.24
S: 0.6667 0.3333 0.5332  1 Si 2.11
S: 0.7429 0.8337 0.7690  1 Cu 2.24
S: 0.5858 0.4784 0.0118  1 Si 2.15
S: 0.3333 0.6667 0.0332  1 Si 2.11
S: 0.8337 0.0908 0.2690  1 Cu 2.24
S: 0.5216 0.1074 0.0118  1 Si 2.15
S: 0.2571 0.1663 0.2690  1 Cu 2.24
S: 0.0908 0.2571 0.7690  1 Cu 2.24
S: 0.4784 0.8926 0.5118  1 Si 2.15
S: 0.1663 0.9092 0.7690  1 Cu 2.24
S: 0.4142 0.5216 0.5118  1 Si 2.15
Cu: 0.0000 0.0000 0.2794  3 S 2.24
Cu: 0.0000 0.0000 0.7794  3 S 2.24
Tb: 0.6434 0.7687 0.2504  8 S 2.78-3.07
Tb: 0.3565 0.2313 0.7504  8 S 2.78-3.07
Tb: 0.2313 0.8747 0.2504  8 S 2.78-3.07
Tb: 0.1253 0.3565 0.2504  8 S 2.78-3.07
Tb: 0.8747 0.6435 0.7504  8 S 2.78-3.07
Tb: 0.7687 0.1253 0.7504  8 S 2.78-3.07
Si: 0.6667 0.3333 0.1621  4 S 2.11-2.15
Si: 0.3333 0.6667 0.6621  4 S 2.11-2.15

***

VASP calculation (PBE) on a relaxed TlCuSiTeS2 crystal.

Computed properties:
Uncorrected energy (eV/atom): -4.01

Unit cell a=7.9670 b=7.9670 c=10.6179 alpha=90.00 beta=90.00 gamma=155.65
With the nearest neighbours (Å) after each atom.
Positions (direct):
S: 0.1032 0.8968 0.9570  1 Cu 2.23, 2 Si 2.37
S: 0.8968 0.1032 0.0430  1 Cu 2.23, 2 Si 2.37
S: 0.1032 0.8968 0.5430  1 Cu 2.23, 2 Si 2.37
S: 0.8968 0.1032 0.4570  1 Cu 2.23, 2 Si 2.37
Te: 0.4372 0.5628 0.7500  2 Cu 2.77, 2 Si 2.83
Te: 0.5628 0.4372 0.2500  2 Cu 2.77, 2 Si 2.83
Cu: 0.0784 0.9216 0.7500  2 S 2.23
Cu: 0.9216 0.0784 0.2500  2 S 2.23
Tl: 0.7395 0.2605 0.7500  2 Cu 3.02, 2 Tl 3.36
Tl: 0.2605 0.7395 0.2500  2 Cu 3.02, 2 Tl 3.36
Si: 0.5000 0.5000 0.5000  4 S 2.37
Si: 0.5000 0.5000 0.0000  4 S 2.37

***

VASP calculation (PBE) on a relaxed TlCuSiTe2S crystal.

Computed properties:
Uncorrected energy (eV/atom): -3.71

Unit cell a=7.6802 b=7.6802 c=10.5300 alpha=90.00 beta=90.00 gamma=151.38
With the nearest neighbours (Å) after each atom.
Positions (direct):
Si: 0.5000 0.5000 0.0000  2 S 2.70, 4 Te 2.74
Si: 0.5000 0.5000 0.5000  2 S 2.70, 4 Te 2.74
Tl: 0.7702 0.2298 0.2500  6 Te 3.36-3.60, 2 S 3.41
Tl: 0.2298 0.7702 0.7500  6 Te 3.36-3.60, 2 S 3.41
Cu: 0.0413 0.9587 0.2500  2 S 2.25
Cu: 0.9587 0.0413 0.7500  2 S 2.25
Te: 0.1304 0.8696 0.0368  1 Cu 2.61, 2 Si 2.74
Te: 0.8696 0.1304 0.9632  1 Cu 2.61, 2 Si 2.74
Te: 0.8696 0.1304 0.5368  1 Cu 2.61, 2 Si 2.74
Te: 0.1304 0.8696 0.4632  1 Cu 2.61, 2 Si 2.74
S: 0.4604 0.5396 0.2500  2 Cu 2.25
S: 0.5396 0.4604 0.7500  2 Cu 2.25

***

VASP calculation (PBE) on a relaxed ZnCu2SiTeS3 crystal.

Computed properties:
Uncorrected energy (eV/atom): -4.13

Unit cell a=5.4368 b=5.4368 c=6.6489 alpha=114.09 beta=114.09 gamma=88.93
With the nearest neighbours (Å) after each atom.
Positions (direct):
Cu: 0.2683 0.7068 0.4771  3 S 2.30-2.32, 1 Te 2.56
Cu: 0.7068 0.2683 0.4771  3 S 2.30-2.32, 1 Te 2.56
S: 0.8607 0.3970 0.2534  1 Si 2.19, 2 Cu 2.30-2.32, 1 Zn 2.42
S: 0.6223 0.6223 0.7701  1 Si 2.17, 2 Cu 2.31, 1 Zn 2.37
S: 0.3970 0.8607 0.2534  1 Si 2.19, 2 Cu 2.30-2.32, 1 Zn 2.42
Te: 0.1286 0.1286 0.7356  1 Si 2.51, 2 Cu 2.56, 1 Zn 2.62
Si: 0.5221 0.5221 0.0156  3 S 2.17-2.19
Zn: 0.9940 0.9940 0.0176  3 S 2.37-2.42, 1 Te 2.62

***

VASP calculation (PBE) on a relaxed ZnCu2SiTe3S crystal.

Computed properties:
Uncorrected energy (eV/atom): -3.70

Unit cell a=5.8410 b=5.8410 c=7.0562 alpha=113.62 beta=113.62 gamma=90.66
With the nearest neighbours (Å) after each atom.
Positions (direct):
Zn: 0.0249 0.0249 0.0177  1 S 2.44, 3 Te 2.66-2.72
Si: 0.4882 0.4882 0.0156  1 S 2.22
Te: 0.1298 0.6148 0.7449  1 Si 2.56, 2 Cu 2.58, 1 Zn 2.66
Te: 0.8713 0.8713 0.2727  1 Si 2.58, 2 Cu 2.60, 1 Zn 2.72
Te: 0.6148 0.1298 0.7449  1 Si 2.56, 2 Cu 2.58, 1 Zn 2.66
S: 0.3861 0.3861 0.2465  1 Si 2.22, 2 Cu 2.29, 1 Zn 2.44
Cu: 0.2694 0.7155 0.4789  1 S 2.29
Cu: 0.7155 0.2694 0.4789  1 S 2.29

***

VASP calculation (PBE) on a relaxed Y3CuSiS7 crystal.

Computed properties:
Uncorrected energy (eV/atom): -6.31

Unit cell a=9.8959 b=9.8956 c=5.6891 alpha=90.00 beta=90.00 gamma=120.00
With the nearest neighbours (Å) after each atom.
Positions (direct):
S: 0.7418 0.8356 0.2211  1 Cu 2.24
S: 0.8931 0.4162 0.9796  1 Si 2.14
S: 0.3334 0.6667 0.9583  1 Si 2.11
S: 0.4162 0.5231 0.4797  1 Si 2.14
S: 0.4769 0.8931 0.4797  1 Si 2.14
S: 0.8356 0.0938 0.7211  1 Cu 2.24
S: 0.1069 0.5838 0.4796  1 Si 2.14
S: 0.5231 0.1069 0.9797  1 Si 2.14
S: 0.9062 0.7418 0.7211  1 Cu 2.24
S: 0.1644 0.9062 0.2211  1 Cu 2.24
S: 0.0938 0.2582 0.2211  1 Cu 2.24
S: 0.2582 0.1644 0.7211  1 Cu 2.24
S: 0.5838 0.4769 0.9797  1 Si 2.14
S: 0.6666 0.3333 0.4583  1 Si 2.11
Y: 0.6428 0.7712 0.7436  8 S 2.77-3.09
Y: 0.7712 0.1284 0.2436  8 S 2.77-3.09
Y: 0.3572 0.2288 0.2436  8 S 2.77-3.09
Y: 0.2288 0.8716 0.7436  8 S 2.77-3.09
Y: 0.1284 0.3572 0.7436  8 S 2.77-3.10
Y: 0.8716 0.6428 0.2436  8 S 2.77-3.10
Si: 0.6666 0.3333 0.8295  4 S 2.11-2.14
Si: 0.3334 0.6667 0.3295  4 S 2.11-2.14
Cu: 0.0000 0.0000 0.2021  3 S 2.24
Cu: 0.0000 0.0000 0.7021  3 S 2.24

***

VASP calculation (PBE) on a relaxed SmCu3S6 crystal.

Computed properties:
Uncorrected energy (eV/atom): -4.55

Unit cell a=9.4438 b=3.6768 c=11.2415 alpha=90.00 beta=113.43 gamma=90.00
With the nearest neighbours (Å) after each atom.
Positions (direct):
Cu: 0.0551 0.7500 0.6416  5 S 2.35-2.43
Cu: 0.8401 0.7500 0.0419  4 S 2.28-2.47
Cu: 0.1599 0.2500 0.9581  4 S 2.28-2.47
Cu: 0.9449 0.2500 0.3584  5 S 2.35-2.43
Cu: 0.3351 0.7500 0.4272  4 S 2.25-2.43
Cu: 0.6649 0.2500 0.5728  4 S 2.25-2.43
S: 0.5696 0.7500 0.4001  3 Cu 2.35-2.56
S: 0.9260 0.7500 0.8785  1 S 2.01
S: 0.7218 0.7500 0.7256  1 S 2.01
S: 0.6500 0.2500 0.9783  2 Cu 2.47
S: 0.8087 0.7500 0.2328  3 Cu 2.28-2.36
S: 0.4304 0.2500 0.5999  3 Cu 2.35-2.56
S: 0.3500 0.7500 0.0217  2 Cu 2.47
S: 0.1074 0.7500 0.4469  4 Cu 2.25-2.43
S: 0.8926 0.2500 0.5531  4 Cu 2.25-2.43
S: 0.2782 0.2500 0.2744  1 S 2.01
S: 0.1913 0.2500 0.7672  3 Cu 2.28-2.36
S: 0.0740 0.2500 0.1215  1 S 2.01
Sm: 0.4492 0.7500 0.8042  8 S 2.80-3.04
Sm: 0.5508 0.2500 0.1958  8 S 2.80-3.04

***

VASP calculation (PBE) on a relaxed SmCuSnTeS2 crystal.

Computed properties:
Uncorrected energy (eV/atom): -4.87

Unit cell a=7.1368 b=7.1368 c=11.1556 alpha=90.00 beta=90.00 gamma=147.16
With the nearest neighbours (Å) after each atom.
Positions (direct):
Cu: 0.5219 0.4781 0.2500  2 S 2.34
Cu: 0.4781 0.5219 0.7500  2 S 2.34
Sm: 0.0000 0.0000 0.0000  4 S 2.80
Sm: 0.0000 0.0000 0.5000  4 S 2.80
S: 0.6247 0.3753 0.0828  1 Cu 2.34
S: 0.6247 0.3753 0.4172  1 Cu 2.34
S: 0.3753 0.6247 0.5828  1 Cu 2.34
S: 0.3753 0.6247 0.9172  1 Cu 2.34
Te: 0.1057 0.8943 0.7500  2 Cu 2.67
Te: 0.8943 0.1057 0.2500  2 Cu 2.67
Sn: 0.2061 0.7939 0.2500  4 S 2.96, 2 Cu 3.23, 2 Te 3.27
Sn: 0.7939 0.2061 0.7500  4 S 2.96, 2 Cu 3.23, 2 Te 3.27

***

Which value of uncorrected energy does entry 3 give?
-4.56 eV/atom

***

Please write out number 3 again, unchanged.
VASP calculation (PBE) on a relaxed Cu3SiS4 crystal.

Computed properties:
Uncorrected energy (eV/atom): -4.56

Unit cell a=7.2896 b=6.3330 c=6.1221 alpha=90.00 beta=90.00 gamma=90.00
With the nearest neighbours (Å) after each atom.
Positions (direct):
S: 0.5000 0.3224 0.5235  1 Si 2.16, 3 Cu 2.28
S: 0.2570 0.1699 0.9953  1 Si 2.16, 3 Cu 2.29-2.32
S: 0.2430 0.8301 0.4953  1 Si 2.16, 3 Cu 2.29-2.32
S: 0.0000 0.3528 0.4977  1 Si 2.16, 3 Cu 2.28
S: 0.7570 0.8301 0.4953  1 Si 2.16, 3 Cu 2.29-2.32
S: 0.5000 0.6472 0.9977  1 Si 2.16, 3 Cu 2.28
S: 0.0000 0.6776 0.0235  1 Si 2.16, 3 Cu 2.28
S: 0.7430 0.1699 0.9953  1 Si 2.16, 3 Cu 2.29-2.32
Cu: 0.2523 0.8272 0.8688  4 S 2.28-2.30
Cu: 0.0000 0.3492 0.8696  4 S 2.28-2.32
Cu: 0.2477 0.1728 0.3688  4 S 2.28-2.30
Cu: 0.7477 0.8272 0.8688  4 S 2.28-2.30
Cu: 0.5000 0.6508 0.3696  4 S 2.28-2.32
Cu: 0.7523 0.1728 0.3688  4 S 2.28-2.30
Si: 0.5000 0.3264 0.8766  4 S 2.16
Si: 0.0000 0.6736 0.3766  4 S 2.16